DyTaRuRh PBE relaxed; DOS(E_F) = 0.5526 states/eV/atom; space group = F-43m; formation energy = -411 meV per atom; total DFT energy (no corrections) = -0.319 Ha/atom; V = 70.8 Å³/cell
1.0
-1.093 -1.968 4.062
0.609 -4.564 0.608
3.359 -1.540 2.813
Ru Dy Rh Ta
1 1 1 1
Cartesian
2.156 -6.054 5.612
1.438 -4.036 3.741
0.719 -2.018 1.871
0.000 0.000 0.000